Record 1
This record from Alexandria via LeMat-Bulk describes a geometry-optimized K2InO structure. The functional is PBE.

a = 3.4368 Å, b = 10.2511 Å, c = 3.7532 Å
α = 90.00°, β = 116.72°, γ = 90.00°
Element x y z (fractional)
1 K 0.0000 0.1477 0.0000
2 K 0.0000 0.8523 0.0000
3 In 0.3191 0.5000 0.6141
4 O 0.3174 0.0000 0.6284

Properties
**Uncorrected formation energy**: -0.5423 eV/atom
**Symmetry**: Pm (6)
**Uncorrected energy**: -12.06 eV for the cell shown
**Energy relative to the lowest polymorph listed for this composition**: 0.000 eV/atom
**N(E_F)**: 2.2 states/eV/f.u.

=====

Record 2
This record from Alexandria via LeMat-Bulk describes a geometry-optimized KInO2 structure. The functional is PBE.

a = 7.7987 Å, b = 7.8280 Å, c = 5.8999 Å
α = 90.00°, β = 126.07°, γ = 90.00°
Element x y z (fractional)
1 K 0.0000 0.1145 0.2500
2 K 0.0000 0.8855 0.7500
3 K 0.5000 0.3855 0.7500
4 K 0.5000 0.6145 0.2500
5 In 0.0000 0.4412 0.7500
6 In 0.0000 0.5588 0.2500
7 In 0.5000 0.0588 0.2500
8 In 0.5000 0.9412 0.7500
9 O 0.1849 0.3892 0.1755
10 O 0.1849 0.6108 0.6755
11 O 0.3151 0.1108 0.8245
12 O 0.3151 0.8892 0.3245
13 O 0.6849 0.1108 0.6755
14 O 0.6849 0.8892 0.1755
15 O 0.8151 0.3892 0.3245
16 O 0.8151 0.6108 0.8245

Properties
**Uncorrected formation energy**: -1.4214 eV/atom
**Symmetry**: C2/c (15)
**Uncorrected energy**: -77.75 eV for the cell shown
**N(E_F)**: 0.0 states/eV/f.u.

=====

Record 3
This record from Alexandria via LeMat-Bulk describes a geometry-optimized K2InO structure. The functional is PBE.

a = 7.7050 Å, b = 7.7050 Å, c = 7.7050 Å
α = 90.00°, β = 90.00°, γ = 90.00°
Element x y z (fractional)
1 K 0.2500 0.2500 0.2500
2 K 0.2500 0.2500 0.7500
3 K 0.2500 0.7500 0.2500
4 K 0.2500 0.7500 0.7500
5 K 0.7500 0.2500 0.2500
6 K 0.7500 0.2500 0.7500
7 K 0.7500 0.7500 0.2500
8 K 0.7500 0.7500 0.7500
9 In 0.0000 0.0000 0.0000
10 In 0.0000 0.5000 0.5000
11 In 0.5000 0.0000 0.5000
12 In 0.5000 0.5000 0.0000
13 O 0.0000 0.0000 0.5000
14 O 0.0000 0.5000 0.0000
15 O 0.5000 0.0000 0.0000
16 O 0.5000 0.5000 0.5000

Properties
**Uncorrected formation energy**: -0.0233 eV/atom
**Symmetry**: Fm-3m (225)
**Uncorrected energy**: -39.94 eV for the cell shown
**Energy relative to the lowest polymorph listed for this composition**: 0.519 eV/atom
**N(E_F)**: 2.4 states/eV/f.u.

=====

Record 4
This record from Alexandria via LeMat-Bulk describes a geometry-optimized KInO2 structure. The functional is PBE.

a = 4.2952 Å, b = 4.2952 Å, c = 3.0128 Å
α = 90.00°, β = 90.00°, γ = 90.00°
Element x y z (fractional)
1 K 0.0000 0.0000 0.0000
2 In 0.5000 0.5000 0.0000
3 O 0.0000 0.5000 0.5000
4 O 0.5000 0.0000 0.5000

Properties
**Uncorrected formation energy**: -0.6532 eV/atom
**Symmetry**: P4/mmm (123)
**Uncorrected energy**: -16.37 eV for the cell shown
**N(E_F)**: 1.1 states/eV/f.u.

=====

Record 5
This record from Alexandria via LeMat-Bulk describes a geometry-optimized KInO3 structure. The functional is PBE.

a = 4.4865 Å, b = 4.4865 Å, c = 4.4865 Å
α = 90.00°, β = 90.00°, γ = 90.00°
Element x y z (fractional)
1 K 0.0000 0.0000 0.0000
2 In 0.5000 0.5000 0.5000
3 O 0.0000 0.0000 0.5000
4 O 0.0000 0.5000 0.0000
5 O 0.5000 0.0000 0.0000

Properties
**Uncorrected formation energy**: 0.6024 eV/atom
**Symmetry**: Pm-3m (221)
**Uncorrected energy**: -15.70 eV for the cell shown
**N(E_F)**: 5.8 states/eV/f.u.

=====

Record 6
This record from Alexandria via LeMat-Bulk describes a geometry-optimized K2InO structure. The functional is PBE.

a = 10.7512 Å, b = 10.7512 Å, c = 4.7771 Å
α = 90.00°, β = 90.00°, γ = 90.00°
Element x y z (fractional)
1 K 0.0716 0.7500 0.1250
2 K 0.2500 0.0716 0.8750
3 K 0.2500 0.4284 0.3750
4 K 0.4284 0.7500 0.6250
5 K 0.5716 0.2500 0.6250
6 K 0.7500 0.5716 0.3750
7 K 0.7500 0.9284 0.8750
8 K 0.9284 0.2500 0.1250
9 In 0.0000 0.0000 0.5000
10 In 0.0000 0.5000 0.7500
11 In 0.5000 0.0000 0.2500
12 In 0.5000 0.5000 0.0000
13 O 0.0000 0.0000 0.0000
14 O 0.0000 0.5000 0.2500
15 O 0.5000 0.0000 0.7500
16 O 0.5000 0.5000 0.5000

Properties
**Uncorrected formation energy**: -0.4992 eV/atom
**Symmetry**: I-42d (122)
**Uncorrected energy**: -47.55 eV for the cell shown
**Energy relative to the lowest polymorph listed for this composition**: 0.043 eV/atom
**N(E_F)**: 4.4 states/eV/f.u.